RbZnPt: relaxed, PBE.

The crystal system is cubic. As for the symmetry: F-43m. The calculation puts the excess energy over the best structure of this formula in the dataset at 619.5 meV/atom.

Cell lengths 7.369, 7.369, 7.369 Å; angles 90.00, 90.00, 90.00 degrees
Element x y z (fractional)
Rb (0.000, 0.000, 0.000)
Rb (0.000, 0.500, 0.500)
Rb (0.500, 0.000, 0.500)
Rb (0.500, 0.500, 0.000)
Zn (0.250, 0.250, 0.250)
Zn (0.250, 0.750, 0.750)
Zn (0.750, 0.250, 0.750)
Zn (0.750, 0.750, 0.250)
Pt (0.250, 0.250, 0.750)
Pt (0.250, 0.750, 0.250)
Pt (0.750, 0.250, 0.250)
Pt (0.750, 0.750, 0.750)